HoCO4 after structural relaxation, computed with GGA-PBEsol.

## Properties
Electronic total energy (eV for the cell shown): -866.7
Magnetic moment (μB per formula unit): 1.0
Formation energy (no corrections) (eV per formula unit): -12.561

Geometry as extended XYZ:
```
108
Lattice="11.746 0.000 0.000 -5.873 10.172 0.000 0.000 0.000 9.579" Properties=species:S:1:pos:R:3 pbc="T T T"
Ho -2.031 5.637 2.362
Ho -2.031 5.637 7.217
Ho -0.017 2.319 2.475
Ho -0.017 2.319 7.104
Ho -3.856 9.027 2.475
Ho -3.856 9.027 7.104
Ho 3.879 2.218 2.339
Ho 3.879 2.218 7.240
Ho 2.007 5.595 2.362
Ho 2.007 5.595 7.217
Ho 0.024 9.113 2.362
Ho 0.024 9.113 7.217
Ho 3.873 8.998 2.475
Ho 3.873 8.998 7.104
Ho 5.854 5.704 2.339
Ho 5.854 5.704 7.240
Ho 7.886 2.250 2.339
Ho 7.886 2.250 7.240
C -2.139 7.072 4.789
C 2.203 0.234 0.000
C 1.869 0.950 4.789
C -1.862 7.736 0.000
C 0.105 4.692 0.000
C 0.818 4.784 4.789
C 3.724 3.636 4.789
C 1.321 8.489 4.789
C 1.757 7.918 0.000
C 3.986 4.336 0.000
C 5.998 1.284 0.000
C 6.736 1.407 4.789
C 4.974 8.147 0.000
C 7.160 5.130 4.789
C 7.635 4.553 0.000
C 5.761 8.079 4.789
C 9.989 1.143 4.789
C 10.442 1.791 0.000
O 0.000 0.000 2.377
O 0.000 0.000 7.202
O -1.975 3.426 2.921
O -1.975 3.426 6.658
O -0.648 1.788 4.789
O -0.016 1.880 0.000
O -4.237 9.246 0.000
O -4.000 9.840 4.789
O -1.932 6.452 0.000
O -1.560 5.919 4.789
O -2.440 7.604 3.660
O -2.440 7.604 5.919
O -0.463 4.403 1.121
O -0.463 4.403 8.458
O 1.867 1.588 3.668
O 1.867 1.588 5.911
O 2.485 0.780 1.128
O 2.485 0.780 8.451
O 0.508 4.258 3.660
O 0.508 4.258 5.919
O -1.828 8.372 1.121
O -1.828 8.372 8.458
O 1.940 3.338 1.856
O 1.940 3.338 7.723
O 0.000 6.782 2.433
O 0.000 6.782 7.146
O -1.918 10.170 2.921
O -1.918 10.170 6.658
O 1.251 5.274 0.000
O 1.527 5.862 4.789
O 0.033 8.564 4.789
O 0.680 8.619 0.000
O 4.273 2.464 4.789
O 4.012 3.055 0.000
O 3.447 4.172 3.655
O 3.447 4.172 5.924
O 5.448 0.947 1.117
O 5.448 0.947 8.462
O 2.292 7.570 1.121
O 2.292 7.570 8.458
O 1.932 8.483 3.660
O 1.932 8.483 5.919
O 3.970 4.981 1.117
O 3.970 4.981 8.462
O 6.409 0.899 3.655
O 6.409 0.899 5.924
O 3.893 6.749 2.921
O 3.893 6.749 6.658
O 5.873 3.391 2.378
O 5.873 3.391 7.201
O 7.885 0.011 1.856
O 7.885 0.011 7.723
O 7.094 1.947 0.000
O 5.870 5.240 4.789
O 7.476 2.468 4.789
O 6.513 5.170 0.000
O 4.253 9.218 0.000
O 4.648 8.717 4.789
O 5.306 7.630 1.128
O 5.306 7.630 8.451
O 9.438 0.823 3.668
O 9.438 0.823 5.911
O 8.202 4.244 1.117
O 8.202 4.244 8.462
O 7.763 5.101 3.655
O 7.763 5.101 5.924
O 6.315 7.762 3.668
O 6.315 7.762 5.911
O 9.828 1.763 1.128
O 9.828 1.763 8.451
O 7.794 6.823 1.856
O 7.794 6.823 7.723
```